# Tb6ReO12

A relaxed Tb6ReO12 crystal (GGA-PBE, OQMD via LeMat-Bulk).

## Properties
raw total energy = -8.41 eV per atom
total moment = 1.0 μB/f.u.

a = 6.460 Å, b = 6.460 Å, c = 6.460 Å
α = 98.69°, β = 98.69°, γ = 98.69°
Positions (direct):
Tb 0.111 0.813 0.644
Tb 0.187 0.356 0.889
Tb 0.356 0.889 0.187
Tb 0.644 0.111 0.813
Tb 0.813 0.644 0.111
Tb 0.889 0.187 0.356
Re 0.500 0.500 0.500
O 0.066 0.910 0.323
O 0.090 0.677 0.934
O 0.204 0.427 0.535
O 0.323 0.066 0.910
O 0.427 0.535 0.204
O 0.465 0.796 0.573
O 0.535 0.204 0.427
O 0.573 0.465 0.796
O 0.677 0.934 0.090
O 0.796 0.573 0.465
O 0.910 0.323 0.066
O 0.934 0.090 0.677